## SrCoN2F (PBE+U)

Data for a relaxed structure of SrCoN2F.

Cell: 4.975 4.975 4.540 Å, 90.00 90.00 90.00°
Element x y z (fractional)
Sr: 0.000 0.000 0.000
Co: 0.500 0.500 0.500
N: 0.000 0.500 0.000
N: 0.500 0.000 0.000
F: 0.000 0.000 0.500

**Volume**: 112.4 Å³/f.u.
**Uncorrected energy**: -4.125 eV per atom
**Fermi-level density of states**: 0.35 states/eV/atom